A relaxed Ac5SbAs4 crystal. Source: Alexandria, functional PBE.

Cell and atoms, written as POSCAR:
```
Ac5SbAs4
1.0
4.511 0.000 -0.870
-0.336 6.272 -1.741
0.011 -0.004 12.184
Ac Sb As
5 1 4
direct
0.606 0.106 0.212 Ac
0.801 0.301 0.602 Ac
0.199 0.699 0.398 Ac
0.000 0.500 0.000 Ac
0.394 0.894 0.788 Ac
0.000 0.000 0.000 Sb
0.399 0.399 0.799 As
0.798 0.798 0.595 As
0.202 0.202 0.405 As
0.601 0.601 0.201 As
```

## Properties
Uncorrected energy, eV per atom: -5.74
ΔE_f (raw), eV/atom: -1.416
Density of states at the Fermi level, states/eV/f.u.: 1.15

***

A relaxed AcSbAs crystal. Source: Alexandria, functional PBE.

Cell and atoms, written as POSCAR:
```
AcSbAs
1.0
-0.585 -1.337 -4.024
2.007 -4.336 1.149
-4.844 0.669 0.482
Sb Ac As
1 1 1
direct
0.167 0.000 0.000 Sb
0.666 0.333 0.667 Ac
0.167 0.667 0.333 As
```

## Properties
Offset from the most stable computed form, meV per atom: 196
Uncorrected energy, eV per atom: -5.01
ΔE_f (raw), eV/atom: -0.721
Density of states at the Fermi level, states/eV/f.u.: 1.60

***

A relaxed Ac6SbAs4 crystal. Source: Alexandria, functional PBE.

Cell and atoms, written as POSCAR:
```
Ac6SbAs4
1.0
4.560 0.000 0.000
-2.280 7.450 0.000
0.000 0.000 23.035
Ac Sb As
12 2 8
direct
0.500 0.000 0.000 Ac
0.500 0.000 0.500 Ac
0.044 0.088 0.339 Ac
0.956 0.912 0.661 Ac
0.956 0.912 0.839 Ac
0.044 0.088 0.161 Ac
0.774 0.548 0.418 Ac
0.226 0.452 0.582 Ac
0.226 0.452 0.918 Ac
0.774 0.548 0.082 Ac
0.329 0.659 0.250 Ac
0.671 0.341 0.750 Ac
0.662 0.325 0.250 Sb
0.338 0.675 0.750 Sb
0.862 0.724 0.542 As
0.410 0.819 0.126 As
0.138 0.276 0.458 As
0.590 0.181 0.874 As
0.862 0.724 0.958 As
0.138 0.276 0.042 As
0.590 0.181 0.626 As
0.410 0.819 0.374 As
```

## Properties
Uncorrected energy, eV per atom: -5.60
ΔE_f (raw), eV/atom: -1.289
Density of states at the Fermi level, states/eV/f.u.: 4.77

***

A relaxed AcSb2As crystal. Source: Alexandria, functional PBE.

Cell and atoms, written as POSCAR:
```
AcSb2As
1.0
5.264 0.000 0.000
0.000 4.612 0.000
0.000 0.000 4.612
Sb Ac As
2 1 1
direct
0.000 0.000 0.500 Sb
0.000 0.500 0.000 Sb
0.500 0.500 0.500 Ac
0.500 0.000 0.000 As
```

## Properties
Offset from the most stable computed form, meV per atom: 0
Uncorrected energy, eV per atom: -4.83
ΔE_f (raw), eV/atom: -0.575
Density of states at the Fermi level, states/eV/f.u.: 2.12